# 1
This record from Alexandria via LeMat-Bulk describes a geometry-optimized RbAl12Ag7 structure. The functional is PBE-GGA.

CIF file:
```
data_RbAl12Ag7
_chemical_formula_sum 'Rb1 Al12 Ag7'
_cell_length_a 8.2618
_cell_length_b 8.2618
_cell_length_c 8.2618
_cell_angle_alpha 112.30
_cell_angle_beta 112.30
_cell_angle_gamma 112.30
_space_group_name_H-M_alt 'P 1'
_space_group_IT_number 1
_space_group_name_Hall 'P 1'
loop_
_atom_site_label
_atom_site_type_symbol
_atom_site_fract_x
_atom_site_fract_y
_atom_site_fract_z
Rb1 Rb 0.0000 0.0000 0.0000
Al1 Al 0.0000 0.2604 0.7396
Al2 Al 0.0000 0.7396 0.2604
Al3 Al 0.0978 0.4322 0.4322
Al4 Al 0.2604 0.0000 0.7396
Al5 Al 0.2604 0.7396 0.0000
Al6 Al 0.4322 0.0978 0.4322
Al7 Al 0.4322 0.4322 0.0978
Al8 Al 0.5678 0.5678 0.9022
Al9 Al 0.5678 0.9022 0.5678
Al10 Al 0.7396 0.0000 0.2604
Al11 Al 0.7396 0.2604 0.0000
Al12 Al 0.9022 0.5678 0.5678
Ag1 Ag 0.1778 0.1778 0.5253
Ag2 Ag 0.1778 0.5253 0.1778
Ag3 Ag 0.4747 0.8222 0.8222
Ag4 Ag 0.5000 0.5000 0.5000
Ag5 Ag 0.5253 0.1778 0.1778
Ag6 Ag 0.8222 0.4747 0.8222
Ag7 Ag 0.8222 0.8222 0.4747
```

E_form, meV/atom: 100
V, Å³/f.u.: 381.9
Density, g/cm³: 5.06

=====

# 2
This record from Alexandria via LeMat-Bulk describes a geometry-optimized SrSmPt2 structure. The functional is PBE-GGA.

CIF file:
```
data_SrSmPt2
_chemical_formula_sum 'Sr1 Sm1 Pt2'
_cell_length_a 7.7481
_cell_length_b 7.7481
_cell_length_c 7.7481
_cell_angle_alpha 30.98
_cell_angle_beta 30.98
_cell_angle_gamma 30.98
_space_group_name_H-M_alt 'P 1'
_space_group_IT_number 1
_space_group_name_Hall 'P 1'
loop_
_atom_site_label
_atom_site_type_symbol
_atom_site_fract_x
_atom_site_fract_y
_atom_site_fract_z
Sr1 Sr 0.0000 0.0000 0.0000
Sm1 Sm 0.8287 0.8287 0.8287
Pt1 Pt 0.2390 0.2390 0.2390
Pt2 Pt 0.4205 0.4205 0.4205
```

E_form, meV/atom: -834
V, Å³/f.u.: 109.3
Energy above the most stable polymorph in this dataset, kJ/mol of atoms: 15.0
Density, g/cm³: 9.54

=====

# 3
This record from Alexandria via LeMat-Bulk describes a geometry-optimized La2Al3ZnPt12 structure. The functional is PBE-GGA.

CIF file:
```
data_La2Al3ZnPt12
_chemical_formula_sum 'La2 Al3 Zn1 Pt12'
_cell_length_a 7.9182
_cell_length_b 7.9182
_cell_length_c 7.9182
_cell_angle_alpha 61.70
_cell_angle_beta 61.70
_cell_angle_gamma 61.70
_space_group_name_H-M_alt 'P 1'
_space_group_IT_number 1
_space_group_name_Hall 'P 1'
loop_
_atom_site_label
_atom_site_type_symbol
_atom_site_fract_x
_atom_site_fract_y
_atom_site_fract_z
La1 La 0.1231 0.1231 0.1231
La2 La 0.8769 0.8769 0.8769
Al1 Al 0.0000 0.5000 0.5000
Al2 Al 0.5000 0.0000 0.5000
Al3 Al 0.5000 0.5000 0.0000
Zn1 Zn 0.5000 0.5000 0.5000
Pt1 Pt 0.1227 0.6291 0.6291
Pt2 Pt 0.1281 0.1281 0.6198
Pt3 Pt 0.1281 0.6198 0.1281
Pt4 Pt 0.3709 0.3709 0.8773
Pt5 Pt 0.3709 0.8773 0.3709
Pt6 Pt 0.3802 0.8719 0.8719
Pt7 Pt 0.6198 0.1281 0.1281
Pt8 Pt 0.6291 0.1227 0.6291
Pt9 Pt 0.6291 0.6291 0.1227
Pt10 Pt 0.8719 0.3802 0.8719
Pt11 Pt 0.8719 0.8719 0.3802
Pt12 Pt 0.8773 0.3709 0.3709
```

E_form, meV/atom: -547
V, Å³/f.u.: 364.4
Density, g/cm³: 12.60

=====

# 4
This record from Alexandria via LeMat-Bulk describes a geometry-optimized CaBeGaC2 structure. The functional is PBE-GGA.

CIF file:
```
data_CaBeGaC2
_chemical_formula_sum 'Ca1 Be1 Ga1 C2'
_cell_length_a 3.9104
_cell_length_b 3.9104
_cell_length_c 4.2722
_cell_angle_alpha 90.00
_cell_angle_beta 90.00
_cell_angle_gamma 90.00
_space_group_name_H-M_alt 'P 1'
_space_group_IT_number 1
_space_group_name_Hall 'P 1'
loop_
_atom_site_label
_atom_site_type_symbol
_atom_site_fract_x
_atom_site_fract_y
_atom_site_fract_z
Ca1 Ca 0.0000 0.0000 0.0000
Be1 Be 0.5000 0.5000 0.5000
Ga1 Ga 0.5000 0.5000 0.0000
C1 C 0.0000 0.5000 0.5000
C2 C 0.5000 0.0000 0.5000
```

E_form, meV/atom: 1252
V, Å³/f.u.: 65.3
Density, g/cm³: 3.63